Entry from the Alexandria database: a geometry-optimized YCrOs2 structure (PBE-GGA).

```
YCrOs2
1.0
2.844 0.000 0.000
0.000 3.669 0.000
0.000 0.000 6.656
Cr Os Y
1 2 1
direct
0.500 0.500 0.829
0.000 0.000 0.982
0.500 0.500 0.198
0.000 0.000 0.491
```

**Offset from the most stable computed form**: 0.235 eV/atom



Entry from the Alexandria database: a geometry-optimized NaLi4Pb3 structure (PBE-GGA).

```
NaLi4Pb3
1.0
-2.187 4.374 1.359
-4.685 -0.822 -4.895
-5.947 -5.002 6.532
Pb Na Li
6 2 8
direct
0.000 0.000 0.000
0.000 0.000 0.500
0.500 0.000 0.750
0.500 0.000 0.250
0.500 0.500 0.750
0.500 0.500 0.250
0.000 0.500 0.000
0.000 0.500 0.500
0.500 0.752 0.000
0.500 0.752 0.500
0.500 0.248 0.000
0.500 0.248 0.500
0.000 0.752 0.750
0.000 0.752 0.250
0.000 0.248 0.250
0.000 0.248 0.750
```

**DFT total energy**: -2.7659 eV per atom



Entry from the Alexandria database: a geometry-optimized Ti2NbZnO structure (PBE-GGA).

```
Ti2NbZnO
1.0
4.038 0.000 0.000
0.000 4.038 0.000
0.000 0.000 4.394
Nb Zn O Ti
1 1 1 2
direct
0.000 0.000 0.500
0.500 0.500 0.500
0.000 0.000 0.000
0.000 0.500 0.000
0.500 0.000 0.000
```

**DFT total energy**: -7.3961 eV per atom



Entry from the Alexandria database: a geometry-optimized YTl4Se structure (PBE-GGA).

```
YTl4Se
1.0
2.331 -0.638 5.777
-3.834 -1.166 4.813
0.051 -5.625 2.752
Y Tl Se
1 4 1
direct
0.750 0.750 0.750
0.375 0.875 0.375
0.875 0.375 0.375
0.375 0.375 0.875
0.375 0.375 0.375
0.000 0.000 0.000
```

**DFT total energy**: -3.1764 eV per atom



Entry from the Alexandria database: a geometry-optimized Sm3Dy3Tm2 structure (PBE-GGA).

```
Sm3Dy3Tm2
1.0
-4.523 -2.082 0.749
0.894 -0.160 4.954
-2.229 10.275 -1.823
Sm Dy Tm
3 3 2
direct
0.626 0.626 0.252
0.374 0.374 0.748
0.500 0.000 0.000
0.127 0.127 0.254
0.000 0.500 0.000
0.873 0.873 0.746
0.750 0.250 0.499
0.250 0.750 0.501
```

**Offset from the most stable computed form**: 0.000 eV/atom



Entry from the Alexandria database: a geometry-optimized ScHSe3 structure (PBE-GGA).

```
ScHSe3
1.0
-2.232 0.965 -4.573
-4.673 -0.507 2.174
-0.042 5.063 1.089
Sc H Se
1 1 3
direct
0.000 0.000 0.000
0.500 0.500 0.500
0.000 0.500 0.000
0.000 0.000 0.500
0.500 0.000 0.000
```

**Offset from the most stable computed form**: 0.070 eV/atom